1.
A plane-wave DFT calculation with PBE was carried out for YBeTc3 after structural relaxation.

Cell: 4.796 4.796 4.796 Å, 90.00 90.00 90.00°
Positions (direct):
Y  0.000  0.000  0.000
Be  0.500  0.500  0.500
Tc  0.000  0.000  0.500
Tc  0.000  0.500  0.000
Tc  0.500  0.000  0.000

Output
Calculated total energy: -5.602 eV/atom
Density: 5.90 g cm⁻³
ΔE_f: 2.66 eV/atom

2.
A plane-wave DFT calculation with PBE was carried out for ZrTe2W after structural relaxation.

Cell: 3.373 4.254 6.313 Å, 90.00 96.58 90.00°
Positions (direct):
Zr  0.000  0.000  0.000
Te  0.390  0.500  0.747
Te  0.610  0.500  0.253
W  0.500  0.000  0.500

Output
Calculated total energy: -6.558 eV/atom
Density: 9.78 g cm⁻³
E_form (uncorrected): 0.39 eV per atom

Number 1: DOS(E_F) 6.0 states/eV per cell, energy above the most stable polymorph in this dataset 2.2301 eV per atom. Number 2: DOS(E_F) 2.8 states/eV per cell, energy above the most stable polymorph in this dataset 0.5162 eV per atom.